# 1
## Zr2ZnB (GGA-PBE)

Data for crystalline Zr2ZnB at its relaxed geometry.

Space group ... F-43m, No. 216
E ... -5.416 eV per atom

Structure (CIF):
```
data_Zr2ZnB
_chemical_formula_sum 'Zr2 Zn1 B1'
_symmetry_space_group_name_H-M 'P 1'
_symmetry_Int_Tables_number 1
_symmetry_space_group_name_Hall 'P 1'
_cell_length_a 4.547
_cell_length_b 4.547
_cell_length_c 4.547
_cell_angle_alpha 60.00
_cell_angle_beta 60.00
_cell_angle_gamma 60.00
loop_
_atom_site_label
_atom_site_fract_x
_atom_site_fract_y
_atom_site_fract_z
B1 0.500 0.500 0.500
Zn1 0.250 0.250 0.250
Zr1 0.000 0.000 0.000
Zr2 0.750 0.750 0.750
```

=====

# 2
## SrBeAs2Pd (GGA-PBE)

Data for crystalline SrBeAs2Pd at its relaxed geometry.

Space group ... I-4m2, No. 119
E ... -4.551 eV per atom

Structure (CIF):
```
data_SrBeAs2Pd
_chemical_formula_sum 'Sr1 Be1 As2 Pd1'
_symmetry_space_group_name_H-M 'P 1'
_symmetry_Int_Tables_number 1
_symmetry_space_group_name_Hall 'P 1'
_cell_length_a 6.594
_cell_length_b 6.594
_cell_length_c 6.594
_cell_angle_alpha 144.11
_cell_angle_beta 144.11
_cell_angle_gamma 51.67
loop_
_atom_site_label
_atom_site_fract_x
_atom_site_fract_y
_atom_site_fract_z
As1 0.621 0.121 0.500
As2 0.879 0.379 0.500
Be1 0.000 0.000 0.000
Pd1 0.500 0.500 0.000
Sr1 0.250 0.750 0.500
```

=====

# 3
## ZnFeGeSe3 (GGA-PBE)

Data for crystalline ZnFeGeSe3 at its relaxed geometry.

Space group ... Cmcm, No. 63
E ... -4.252 eV per atom

Structure (CIF):
```
data_ZnFeGeSe3
_chemical_formula_sum 'Zn2 Fe2 Ge2 Se6'
_symmetry_space_group_name_H-M 'P 1'
_symmetry_Int_Tables_number 1
_symmetry_space_group_name_Hall 'P 1'
_cell_length_a 6.801
_cell_length_b 6.801
_cell_length_c 10.834
_cell_angle_alpha 90.00
_cell_angle_beta 90.00
_cell_angle_gamma 31.03
loop_
_atom_site_label
_atom_site_fract_x
_atom_site_fract_y
_atom_site_fract_z
Fe1 0.465 0.465 0.250
Fe2 0.535 0.535 0.750
Ge1 0.806 0.806 0.250
Ge2 0.194 0.194 0.750
Se1 0.365 0.365 0.061
Se2 0.085 0.085 0.250
Se3 0.365 0.365 0.439
Se4 0.635 0.635 0.561
Se5 0.915 0.915 0.750
Se6 0.635 0.635 0.939
Zn1 0.000 0.000 0.000
Zn2 0.000 0.000 0.500
```

=====

# 4
## KOs2 (GGA-PBE)

Data for crystalline KOs2 at its relaxed geometry.

Space group ... Fd-3m, No. 227
E ... -3.073 eV per atom

Structure (CIF):
```
data_KOs2
_chemical_formula_sum 'K2 Os4'
_symmetry_space_group_name_H-M 'P 1'
_symmetry_Int_Tables_number 1
_symmetry_space_group_name_Hall 'P 1'
_cell_length_a 10.989
_cell_length_b 10.989
_cell_length_c 10.989
_cell_angle_alpha 60.00
_cell_angle_beta 60.00
_cell_angle_gamma 60.00
loop_
_atom_site_label
_atom_site_fract_x
_atom_site_fract_y
_atom_site_fract_z
K1 0.250 0.250 0.250
K2 0.500 0.500 0.500
Os1 0.375 0.375 0.375
Os2 0.375 0.875 0.375
Os3 0.875 0.375 0.375
Os4 0.375 0.375 0.875
```

=====

# 5
## HoSiNO (GGA-PBE)

Data for crystalline HoSiNO at its relaxed geometry.

Space group ... Pmc2_1, No. 26
E ... -7.462 eV per atom

Structure (CIF):
```
data_HoSiNO
_chemical_formula_sum 'Ho2 Si2 N2 O2'
_symmetry_space_group_name_H-M 'P 1'
_symmetry_Int_Tables_number 1
_symmetry_space_group_name_Hall 'P 1'
_cell_length_a 3.161
_cell_length_b 5.771
_cell_length_c 5.953
_cell_angle_alpha 90.00
_cell_angle_beta 90.00
_cell_angle_gamma 90.00
loop_
_atom_site_label
_atom_site_fract_x
_atom_site_fract_y
_atom_site_fract_z
Ho1 0.000 0.442 0.286
Ho2 0.000 0.942 0.714
N1 0.000 0.842 0.323
N2 0.000 0.342 0.677
O1 0.500 0.492 0.034
O2 0.500 0.992 0.966
Si1 0.500 0.978 0.249
Si2 0.500 0.478 0.751
```

=====

# 6
## ZrPt3 (GGA-PBE)

Data for crystalline ZrPt3 at its relaxed geometry.

Space group ... P6_3/mmc, No. 194
Formation energy from the elements ... -1012 meV/atom

Structure (CIF):
```
data_ZrPt3
_chemical_formula_sum 'Zr2 Pt6'
_symmetry_space_group_name_H-M 'P 1'
_symmetry_Int_Tables_number 1
_symmetry_space_group_name_Hall 'P 1'
_cell_length_a 5.721
_cell_length_b 5.721
_cell_length_c 4.667
_cell_angle_alpha 90.00
_cell_angle_beta 90.00
_cell_angle_gamma 120.00
loop_
_atom_site_label
_atom_site_fract_x
_atom_site_fract_y
_atom_site_fract_z
Pt1 0.164 0.328 0.250
Pt2 0.164 0.836 0.250
Pt3 0.672 0.836 0.250
Pt4 0.328 0.164 0.750
Pt5 0.836 0.164 0.750
Pt6 0.836 0.672 0.750
Zr1 0.667 0.333 0.250
Zr2 0.333 0.667 0.750
```

=====

# 7
## PmReAsO (GGA-PBE)

Data for crystalline PmReAsO at its relaxed geometry.

Space group ... Pmc2_1, No. 26
E ... -7.654 eV per atom

Structure (CIF):
```
data_PmReAsO
_chemical_formula_sum 'Pm2 Re2 As2 O2'
_symmetry_space_group_name_H-M 'P 1'
_symmetry_Int_Tables_number 1
_symmetry_space_group_name_Hall 'P 1'
_cell_length_a 4.136
_cell_length_b 6.400
_cell_length_c 5.684
_cell_angle_alpha 90.00
_cell_angle_beta 90.00
_cell_angle_gamma 90.00
loop_
_atom_site_label
_atom_site_fract_x
_atom_site_fract_y
_atom_site_fract_z
As1 0.000 0.674 0.364
As2 0.000 0.326 0.864
O1 0.500 0.272 0.421
O2 0.500 0.728 0.921
Pm1 0.000 0.167 0.353
Pm2 0.000 0.833 0.853
Re1 0.500 0.455 0.116
Re2 0.500 0.545 0.616
```

=====

# 8
## NaPt (GGA-PBE)

Data for crystalline NaPt at its relaxed geometry.

Space group ... Fm-3m, No. 225
E ... -2.923 eV per atom

Structure (CIF):
```
data_NaPt
_chemical_formula_sum 'Na1 Pt1'
_symmetry_space_group_name_H-M 'P 1'
_symmetry_Int_Tables_number 1
_symmetry_space_group_name_Hall 'P 1'
_cell_length_a 3.919
_cell_length_b 3.919
_cell_length_c 3.919
_cell_angle_alpha 60.00
_cell_angle_beta 60.00
_cell_angle_gamma 60.00
loop_
_atom_site_label
_atom_site_fract_x
_atom_site_fract_y
_atom_site_fract_z
Na1 0.000 0.000 0.000
Pt1 0.500 0.500 0.500
```